P) Compound: Sc2AlTc
Source: the Alexandria database
Functional: PBE-GGA
Structure: optimized geometry

Structure (POSCAR):
```
Sc2AlTc
1.0
-4.886 -2.964 7.208
-5.975 -4.922 4.969
-3.292 -5.609 6.505
Al Sc Tc
1 2 1
direct
0.762 0.762 0.762
0.235 0.235 0.235
0.008 0.008 0.008
0.495 0.495 0.495
```

---

Q) Compound: Sc2AlTc
Source: the Alexandria database
Functional: PBE-GGA
Structure: optimized geometry

Structure (POSCAR):
```
Sc2AlTc
1.0
4.964 -0.010 0.000
1.336 4.781 0.000
-3.150 -2.385 3.005
Sc Al Tc
2 1 1
direct
0.000 0.000 0.000
0.250 0.750 0.500
0.750 0.250 0.500
0.500 0.500 0.000
```

---

R) Compound: Sc2AlTc
Source: the Alexandria database
Functional: PBE-GGA
Structure: optimized geometry

Structure (POSCAR):
```
Sc2AlTc
1.0
3.330 0.437 0.000
-0.437 3.330 0.000
0.000 0.000 6.775
Sc Tc Al
2 1 1
direct
0.500 0.500 0.298
0.000 0.000 0.951
0.000 0.000 0.544
0.500 0.500 0.708
```

---

S) Compound: Sc2AlTc
Source: the Alexandria database
Functional: PBE-GGA
Structure: optimized geometry

Structure (POSCAR):
```
Sc2AlTc
1.0
-0.749 -5.264 -1.357
4.486 -2.948 -1.138
-2.394 3.071 3.866
Tc Sc Al
1 2 1
direct
0.486 0.486 0.000
0.731 0.231 0.500
0.006 0.006 0.000
0.277 0.777 0.500
```

---

Most stable structure - S); separation to the second - 2.1 kJ/mol of atoms.

---

P) Compound: Sc2AlTc
Source: the Alexandria database
Functional: PBE-GGA
Structure: optimized geometry

Structure (POSCAR):
```
Sc2AlTc
1.0
0.000 3.307 3.307
3.307 0.000 3.307
3.307 3.307 0.000
Tc Al Sc
1 1 2
direct
0.500 0.500 0.500
0.000 0.000 0.000
0.250 0.250 0.250
0.750 0.750 0.750
```

---

Q) Compound: Sc2AlTc
Source: the Alexandria database
Functional: PBE-GGA
Structure: optimized geometry

Structure (POSCAR):
```
Sc2AlTc
1.0
-2.163 3.307 0.081
-3.268 -2.151 0.562
-1.439 1.174 10.023
Sc Al Tc
4 2 2
direct
0.875 0.889 0.750
0.375 0.361 0.750
0.111 0.625 0.250
0.639 0.125 0.250
0.250 0.750 0.500
0.500 0.500 0.000
0.000 0.000 0.000
0.750 0.250 0.500
```

---

Most stable structure - P); separation to the second - 68.5 kJ/mol of atoms.